Record 1
A relaxed Pm2SbH2 crystal. Source: the Alexandria database, functional PBE-GGA.

Unit cell a=3.9695 b=3.9695 c=12.1240 alpha=90.00 beta=90.00 gamma=90.00
Last column: nearest neighbours and their distance in Å.
Fractional positions:
Pm1 0.0000 0.0000 0.1429  4 H 2.37
Pm2 0.0000 0.0000 0.8571  4 H 2.37
Pm3 0.5000 0.5000 0.3571  4 H 2.37
Pm4 0.5000 0.5000 0.6429  4 H 2.37
Sb1 0.0000 0.0000 0.5000  8 Pm 3.30, 8 H 3.62
Sb2 0.5000 0.5000 0.0000  8 Pm 3.30, 8 H 3.62
H1 0.0000 0.5000 0.2500  4 Pm 2.37
H2 0.0000 0.5000 0.7500  4 Pm 2.37
H3 0.5000 0.0000 0.2500  4 Pm 2.37
H4 0.5000 0.0000 0.7500  4 Pm 2.37

- uncorrected energy (hartree per atom) = -0.17933

Record 2
A relaxed Pm3SbH crystal. Source: the Alexandria database, functional PBE-GGA.

Unit cell a=4.9148 b=4.9148 c=4.9148 alpha=90.00 beta=90.00 gamma=90.00
Last column: nearest neighbours and their distance in Å.
Fractional positions:
Pm1 0.0000 0.0000 0.5000  2 H 2.46
Pm2 0.0000 0.5000 0.0000  2 H 2.46
Pm3 0.5000 0.0000 0.0000  2 H 2.46
Sb1 0.5000 0.5000 0.5000  12 Pm 3.48
H1 0.0000 0.0000 0.0000  6 Pm 2.46

- uncorrected energy (hartree per atom) = -0.18139

Record 3
A relaxed PmSbH crystal. Source: the Alexandria database, functional PBE-GGA.

Unit cell a=6.3247 b=6.4130 c=6.7180 alpha=90.00 beta=90.00 gamma=90.00
Last column: nearest neighbours and their distance in Å.
Fractional positions:
Pm1 0.2359 0.2500 0.0437  2 H 2.15-2.20
Pm2 0.2641 0.7500 0.5437  2 H 2.15-2.20
Pm3 0.7359 0.2500 0.4563  2 H 2.15-2.20
Pm4 0.7641 0.7500 0.9563  2 H 2.15-2.20
Sb1 0.2456 0.2500 0.5476  1 H 2.04
Sb2 0.2544 0.7500 0.0476  1 H 2.04
Sb3 0.7456 0.2500 0.9524  1 H 2.04
Sb4 0.7544 0.7500 0.4524  1 H 2.04
H1 0.0460 0.2500 0.3089  1 Sb 2.04, 2 Pm 2.15-2.20
H2 0.4540 0.7500 0.8089  1 Sb 2.04, 2 Pm 2.15-2.20
H3 0.5460 0.2500 0.1911  1 Sb 2.04, 2 Pm 2.15-2.20
H4 0.9540 0.7500 0.6911  1 Sb 2.04, 2 Pm 2.15-2.20

- uncorrected energy (hartree per atom) = -0.16770

Record 4
A relaxed Pm4Sb2H crystal. Source: the Alexandria database, functional PBE-GGA.

Unit cell a=6.8164 b=6.4843 c=8.9995 alpha=90.00 beta=107.89 gamma=90.00
Last column: nearest neighbours and their distance in Å.
Fractional positions:
Pm1 0.0171 0.0029 0.2893  1 H 2.28
Pm2 0.0171 0.4971 0.2893  1 H 2.28
Pm3 0.3656 0.7500 0.0668  1 H 2.28
Pm4 0.4320 0.7500 0.6396  1 H 2.30
Pm5 0.5680 0.2500 0.3604  1 H 2.30
Pm6 0.6344 0.2500 0.9332  1 H 2.28
Pm7 0.9829 0.5029 0.7107  1 H 2.28
Pm8 0.9829 0.9971 0.7107  1 H 2.28
Sb1 0.2099 0.2500 0.0381  8 Pm 3.17-3.40
Sb2 0.3137 0.2500 0.5931  8 Pm 3.10-3.34
Sb3 0.6863 0.7500 0.4069  8 Pm 3.10-3.34
Sb4 0.7901 0.7500 0.9619  8 Pm 3.17-3.40
H1 0.2290 0.7500 0.8017  4 Pm 2.28-2.30
H2 0.7710 0.2500 0.1983  4 Pm 2.28-2.30

- uncorrected energy (hartree per atom) = -0.18992

Record 5
A relaxed Pm4SbH crystal. Source: the Alexandria database, functional PBE-GGA.

Unit cell a=8.0744 b=8.0744 c=7.3124 alpha=106.84 beta=106.84 gamma=45.04
Last column: nearest neighbours and their distance in Å.
Fractional positions:
Pm1 0.0049 0.1918 0.4584  1 H 2.39
Pm2 0.1918 0.0049 0.9584  1 H 2.39
Pm3 0.2338 0.4114 0.8512  2 H 2.65-2.74
Pm4 0.4114 0.2338 0.3512  2 H 2.65-2.74
Pm5 0.5886 0.7662 0.6488  2 H 2.65-2.74
Pm6 0.7662 0.5886 0.1488  2 H 2.65-2.74
Pm7 0.8082 0.9951 0.0416  1 H 2.39
Pm8 0.9951 0.8082 0.5416  1 H 2.39
Sb1 0.3699 0.6301 0.2500  8 Pm 3.26-3.40
Sb2 0.6301 0.3699 0.7500  8 Pm 3.26-3.40
H1 0.0000 0.5000 0.5000  4 Pm 2.39-2.65
H2 0.5000 0.0000 0.0000  4 Pm 2.39-2.65

- uncorrected energy (hartree per atom) = -0.17638

Record 6
A relaxed Pm4Sb2H crystal. Source: the Alexandria database, functional PBE-GGA.

Unit cell a=4.5791 b=4.5791 c=17.5154 alpha=90.00 beta=90.00 gamma=90.00
Last column: nearest neighbours and their distance in Å.
Fractional positions:
Pm1 0.0000 0.0000 0.1785  1 H 3.13, 5 Sb 3.22-3.32
Pm2 0.0000 0.0000 0.8215  1 H 3.13, 5 Sb 3.22-3.32
Pm3 0.0000 0.5000 0.0000  2 H 2.29
Pm4 0.0000 0.5000 0.5000  2 H 2.29
Pm5 0.5000 0.0000 0.0000  2 H 2.29
Pm6 0.5000 0.0000 0.5000  2 H 2.29
Pm7 0.5000 0.5000 0.3215  1 H 3.13, 5 Sb 3.22-3.32
Pm8 0.5000 0.5000 0.6785  1 H 3.13, 5 Sb 3.22-3.32
Sb1 0.0000 0.0000 0.3622  9 Pm 3.22-3.33
Sb2 0.0000 0.0000 0.6378  9 Pm 3.22-3.33
Sb3 0.5000 0.5000 0.1378  9 Pm 3.22-3.33
Sb4 0.5000 0.5000 0.8622  9 Pm 3.22-3.33
H1 0.0000 0.0000 0.0000  4 Pm 2.29
H2 0.5000 0.5000 0.5000  4 Pm 2.29

- uncorrected energy (hartree per atom) = -0.19124

Record 7
A relaxed Pm2Sc2Sb2H crystal. Source: the Alexandria database, functional PBE-GGA.

Unit cell a=4.4043 b=4.4043 c=16.5902 alpha=90.00 beta=90.00 gamma=90.00
Last column: nearest neighbours and their distance in Å.
Fractional positions:
Pm1 0.0000 0.0000 0.1772  1 H 2.94, 5 Sb 3.22-3.24
Pm2 0.0000 0.0000 0.8228  1 H 2.94, 5 Sb 3.22-3.24
Pm3 0.5000 0.5000 0.3228  1 H 2.94, 5 Sb 3.22-3.24
Pm4 0.5000 0.5000 0.6772  1 H 2.94, 5 Sb 3.22-3.24
Sc1 0.0000 0.5000 0.0000  2 H 2.20
Sc2 0.0000 0.5000 0.5000  2 H 2.20
Sc3 0.5000 0.0000 0.0000  2 H 2.20
Sc4 0.5000 0.0000 0.5000  2 H 2.20
Sb1 0.0000 0.0000 0.3724  4 Sc 3.05, 5 Pm 3.22-3.24
Sb2 0.0000 0.0000 0.6276  4 Sc 3.05, 5 Pm 3.22-3.24
Sb3 0.5000 0.5000 0.1276  4 Sc 3.05, 5 Pm 3.22-3.24
Sb4 0.5000 0.5000 0.8724  4 Sc 3.05, 5 Pm 3.22-3.24
H1 0.0000 0.0000 0.0000  4 Sc 2.20
H2 0.5000 0.5000 0.5000  4 Sc 2.20

- uncorrected energy (hartree per atom) = -0.20920

Record 8
A relaxed Pm4TlSbH crystal. Source: the Alexandria database, functional PBE-GGA.

Unit cell a=9.3117 b=9.3117 c=6.5748 alpha=90.00 beta=90.00 gamma=138.88
Last column: nearest neighbours and their distance in Å.
Fractional positions:
Pm1 0.0000 0.5000 0.0000  2 H 2.43
Pm2 0.0000 0.5000 0.5000  2 H 2.43
Pm3 0.0707 0.9293 0.7500  3 Tl 3.17-3.36, 2 Sb 3.35
Pm4 0.4280 0.5720 0.7500  1 H 2.37
Pm5 0.5000 0.0000 0.0000  2 H 2.43
Pm6 0.5000 0.0000 0.5000  2 H 2.43
Pm7 0.5720 0.4280 0.2500  1 H 2.37
Pm8 0.9293 0.0707 0.2500  3 Tl 3.17-3.36, 2 Sb 3.35
Tl1 0.1112 0.8888 0.2500  9 Pm 3.17-3.36
Tl2 0.8888 0.1112 0.7500  9 Pm 3.17-3.36
Sb1 0.3872 0.6128 0.2500  9 Pm 3.22-3.36
Sb2 0.6128 0.3872 0.7500  9 Pm 3.22-3.36
H1 0.2922 0.7078 0.7500  5 Pm 2.37-2.43
H2 0.7078 0.2922 0.2500  5 Pm 2.37-2.43

- uncorrected energy (hartree per atom) = -0.17353

Record 9
A relaxed Pm2Y4Sb3H2 crystal. Source: the Alexandria database, functional PBE-GGA.

Unit cell a=12.7932 b=12.7932 c=12.7932 alpha=158.85 beta=158.85 gamma=30.09
Last column: nearest neighbours and their distance in Å.
Fractional positions:
Pm1 0.1980 0.1980 0.0000  1 H 2.44
Pm2 0.8020 0.8020 0.0000  1 H 2.44
Y1 0.0820 0.5820 0.5000  2 H 2.39
Y2 0.4180 0.9180 0.5000  2 H 2.39
Y3 0.5820 0.0820 0.5000  2 H 2.39
Y4 0.9180 0.4180 0.5000  2 H 2.39
Sb1 0.3277 0.3277 0.0000  5 Pm 3.21-3.38, 4 Y 3.24
Sb2 0.5000 0.5000 0.0000  8 Y 3.10
Sb3 0.6723 0.6723 0.0000  5 Pm 3.21-3.38, 4 Y 3.24
H1 0.0993 0.0993 0.0000  4 Y 2.39, 1 Pm 2.44
H2 0.9007 0.9007 0.0000  4 Y 2.39, 1 Pm 2.44

- uncorrected energy (hartree per atom) = -0.20990

Record 10
A relaxed Pm2ScH crystal. Source: the Alexandria database, functional PBE-GGA.

Unit cell a=3.3476 b=3.3476 c=8.2962 alpha=90.00 beta=90.00 gamma=90.00
Last column: nearest neighbours and their distance in Å.
Fractional positions:
Pm1 0.0000 0.0000 0.1969  4 H 2.88
Pm2 0.0000 0.0000 0.8031  4 H 2.88
Sc1 0.5000 0.5000 0.5000  4 Sc 3.35, 8 Pm 3.45
H1 0.5000 0.5000 0.0000  8 Pm 2.88

- uncorrected energy (hartree per atom) = -0.17300

Record 11
A relaxed PmScH crystal. Source: the Alexandria database, functional PBE-GGA.

Unit cell a=6.3088 b=6.3088 c=5.5373 alpha=90.00 beta=90.00 gamma=120.00
Last column: nearest neighbours and their distance in Å.
Fractional positions:
Pm1 0.1837 0.3675 0.3333  2 Sc 2.85, 2 H 3.06
Pm2 0.1837 0.8163 0.6667  2 Sc 2.85, 2 H 3.06
Pm3 0.6325 0.8163 0.0000  2 Sc 2.85, 2 H 3.06
Sc1 0.4236 0.2118 0.0000  3 H 2.17-2.18
Sc2 0.7882 0.2118 0.6667  3 H 2.17-2.18
Sc3 0.7882 0.5764 0.3333  3 H 2.17-2.18
H1 0.5895 0.1790 0.3333  3 Sc 2.17-2.18, 2 H 2.35
H2 0.5895 0.4105 0.6667  3 Sc 2.17-2.18, 2 H 2.35
H3 0.8210 0.4105 0.0000  3 Sc 2.17-2.18, 2 H 2.35

- uncorrected energy (hartree per atom) = -0.16957

Record 12
A relaxed PmScH crystal. Source: the Alexandria database, functional PBE-GGA.

Unit cell a=3.4880 b=3.4880 c=5.5715 alpha=90.00 beta=90.00 gamma=120.00
Last column: nearest neighbours and their distance in Å.
Fractional positions:
Pm1 0.0000 0.0000 0.0000  3 H 2.54
Sc1 0.6667 0.3333 0.5156  3 H 2.32
H1 0.3333 0.6667 0.7228  3 Sc 2.32, 3 Pm 2.54

- uncorrected energy (hartree per atom) = -0.18337